Na2Sn3Au: PBEsol geometry, SCAN.

Cell and atoms, written as CIF:
```
data_Na2Sn3Au
_cell_length_a 9.609
_cell_length_b 9.609
_cell_length_c 7.487
_cell_angle_alpha 90.00
_cell_angle_beta 90.00
_cell_angle_gamma 120.00
_symmetry_space_group_name_H-M 'P 1'
_symmetry_Int_Tables_number 1
loop_
_symmetry_equiv_pos_as_xyz
'x,y,z'
loop_
_atom_site_label
_atom_site_fract_x
_atom_site_fract_y
_atom_site_fract_z
Na1 0.000 0.000 0.250
Na2 0.000 0.000 0.750
Na3 0.066 0.533 0.250
Na4 0.467 0.533 0.250
Na5 0.467 0.934 0.250
Na6 0.533 0.066 0.750
Na7 0.533 0.467 0.750
Na8 0.934 0.467 0.750
Sn1 0.171 0.342 0.553
Sn2 0.171 0.342 0.947
Sn3 0.171 0.829 0.553
Sn4 0.171 0.829 0.947
Sn5 0.342 0.171 0.053
Sn6 0.342 0.171 0.447
Sn7 0.658 0.829 0.553
Sn8 0.658 0.829 0.947
Sn9 0.829 0.171 0.053
Sn10 0.829 0.171 0.447
Sn11 0.829 0.658 0.053
Sn12 0.829 0.658 0.447
Au1 0.333 0.667 0.546
Au2 0.333 0.667 0.954
Au3 0.667 0.333 0.046
Au4 0.667 0.333 0.454
```

Properties
- SG: No. 194
- Energy of formation from the pure elements: -0.377 eV/atom
- Crystal system: hexagonal
- Raw total energy: -2.2982 Ry/atom